DFT (PBE+U) results for Be2NiSbO after structural relaxation.

**Calculated total energy**: -2.60 eV per atom
**DOS at the Fermi energy**: 0.81 states/eV/cell

a = 4.469 Å, b = 4.795 Å, c = 4.469 Å
α = 90.00°, β = 90.00°, γ = 90.00°
Each line ends with the local moment (μB).
Positions (direct):
O 0.500 0.500 0.500  0.09
Ni 0.000 0.500 0.000  1.00
Sb 0.000 0.000 0.000  0.00
Be 0.500 0.000 0.000  -0.01
Be 0.000 0.000 0.500  -0.01